(1)
This record from Alexandria describes crystalline Rb3ScU2S6 at its relaxed geometry. The functional is PBE.

Geometry as POSCAR:
```
Rb3ScU2S6
1.0
3.4717 -6.0129 0.0000
3.4717 6.0129 0.0000
-2.3151 0.0000 7.7142
Rb Sc U S
3 1 2 6
Direct
0.0000 0.0000 0.0000
0.3329 0.6671 0.0000
0.6671 0.3329 0.0000
0.5000 0.5000 0.5000
0.1666 0.8334 0.5000
0.8334 0.1666 0.5000
0.1131 0.4366 0.3097
0.2401 0.2401 0.6907
0.4366 0.1131 0.3097
0.5634 0.8869 0.6903
0.7599 0.7599 0.3093
0.8869 0.5634 0.6903
```

Properties
Magnetization in Bohr magnetons per cell: 6.02
Energy relative to the elements, uncorrected in eV/atom: -1.4608
Space group: No. 12
Crystal system: monoclinic

(2)
This record from Alexandria describes crystalline RbScUS4 at its relaxed geometry. The functional is PBE.

Geometry as POSCAR:
```
RbScUS4
1.0
-4.0752 4.3216 5.6571
4.0752 -4.3216 5.6571
4.0752 4.3216 -5.6571
Rb Sc U S
2 2 2 8
Direct
0.3926 0.1426 0.2500
0.6074 0.8574 0.7500
0.0000 0.0000 0.5000
0.0000 0.5000 0.0000
0.0000 0.5000 0.5000
0.5000 0.5000 0.0000
0.1774 0.7345 0.4429
0.2083 0.2655 0.9429
0.2320 0.2763 0.5443
0.2320 0.6877 0.9557
0.7680 0.3123 0.0443
0.7680 0.7237 0.4557
0.7917 0.7345 0.0571
0.8226 0.2655 0.5571
```

Properties
Magnetization in Bohr magnetons per cell: 4.00
Energy relative to the elements, uncorrected in eV/atom: -1.4799
Space group: No. 74
Crystal system: orthorhombic

(3)
This record from Alexandria describes crystalline Rb2ScUS6 at its relaxed geometry. The functional is PBE.

Geometry as POSCAR:
```
Rb2ScUS6
1.0
7.2306 0.0000 0.0000
0.0000 10.2260 0.0000
0.0000 0.0000 7.2311
Rb Sc U S
4 2 2 12
Direct
0.2500 0.0001 0.2497
0.2500 0.4999 0.2497
0.7500 0.9999 0.7503
0.7500 0.5001 0.7503
0.2500 0.2500 0.7503
0.7500 0.7500 0.2497
0.2500 0.7500 0.7497
0.7500 0.2500 0.2503
0.0013 0.7500 0.5010
0.0012 0.7500 0.9985
0.2500 0.5013 0.7495
0.2500 0.9987 0.7495
0.4987 0.7500 0.5010
0.4988 0.7500 0.9985
0.5012 0.2500 0.0015
0.5013 0.2500 0.4990
0.7500 0.0013 0.2505
0.7500 0.4987 0.2505
0.9988 0.2500 0.0015
0.9987 0.2500 0.4990
```

Properties
Magnetization in Bohr magnetons per cell: 0.00
Energy relative to the elements, uncorrected in eV/atom: -1.3089
Space group: No. 59
Crystal system: orthorhombic

(4)
This record from Alexandria describes crystalline Rb3ScU3S8 at its relaxed geometry. The functional is PBE.

Geometry as POSCAR:
```
Rb3ScU3S8
1.0
3.9786 2.2971 7.8632
-3.9786 2.2971 7.8632
0.0000 -4.5941 7.8632
Rb Sc U S
3 1 3 8
Direct
0.0000 0.5000 0.5000
0.5000 0.0000 0.5000
0.5000 0.5000 0.0000
0.5000 0.5000 0.5000
0.0000 0.0000 0.5000
0.0000 0.5000 0.0000
0.5000 0.0000 0.0000
0.2315 0.2315 0.2315
0.2383 0.7227 0.7227
0.2773 0.2773 0.7617
0.2773 0.7617 0.2773
0.7227 0.2383 0.7227
0.7227 0.7227 0.2383
0.7617 0.2773 0.2773
0.7685 0.7685 0.7685
```

Properties
Magnetization in Bohr magnetons per cell: 8.00
Energy relative to the elements, uncorrected in eV/atom: -1.4856
Space group: No. 166
Crystal system: trigonal

(5)
This record from Alexandria describes crystalline Rb2Sc2US6 at its relaxed geometry. The functional is PBE.

Geometry as POSCAR:
```
Rb2Sc2US6
1.0
3.3382 -5.8165 0.0000
3.3382 5.8165 0.0000
-2.2499 0.0000 7.8468
Rb Sc U S
2 2 1 6
Direct
0.1666 0.8334 0.0000
0.8334 0.1666 0.0000
0.3330 0.6670 0.5000
0.6670 0.3330 0.5000
0.0000 0.0000 0.5000
0.0599 0.4014 0.6812
0.2802 0.2802 0.3186
0.4014 0.0599 0.6812
0.5986 0.9401 0.3188
0.7198 0.7198 0.6814
0.9401 0.5986 0.3188
```

Properties
Magnetization in Bohr magnetons per cell: 2.00
Energy relative to the elements, uncorrected in eV/atom: -1.6565
Space group: No. 12
Crystal system: monoclinic

(6)
This record from Alexandria describes crystalline Rb4ScU3S8 at its relaxed geometry. The functional is PBE.

Geometry as POSCAR:
```
Rb4ScU3S8
1.0
4.0208 2.3214 7.7324
-4.0208 2.3214 7.7324
0.0000 -4.6429 7.7324
Rb Sc U S
4 1 3 8
Direct
0.0000 0.0000 0.0000
0.0000 0.5000 0.5000
0.5000 0.0000 0.5000
0.5000 0.5000 0.0000
0.5000 0.5000 0.5000
0.0000 0.0000 0.5000
0.0000 0.5000 0.0000
0.5000 0.0000 0.0000
0.2320 0.2320 0.2320
0.2399 0.7250 0.7250
0.2750 0.2750 0.7601
0.2750 0.7601 0.2750
0.7250 0.2399 0.7250
0.7250 0.7250 0.2399
0.7601 0.2750 0.2750
0.7680 0.7680 0.7680
```

Properties
Magnetization in Bohr magnetons per cell: 9.01
Energy relative to the elements, uncorrected in eV/atom: -1.4310
Space group: No. 166
Crystal system: trigonal

(7)
This record from Alexandria describes crystalline Rb2ScUS5 at its relaxed geometry. The functional is PBE.

Geometry as POSCAR:
```
Rb2ScUS5
1.0
2.0793 -8.2153 0.0000
2.0793 8.2153 0.0000
0.0000 0.0000 15.9295
Rb Sc U S
4 2 2 10
Direct
0.0872 0.9128 0.5000
0.1502 0.8498 0.1218
0.8498 0.1502 0.6218
0.9128 0.0872 0.0000
0.4780 0.5220 0.2689
0.5220 0.4780 0.7689
0.2152 0.7848 0.8448
0.7848 0.2152 0.3448
0.0538 0.9462 0.8552
0.2803 0.7197 0.4501
0.3134 0.6866 0.2428
0.3667 0.6333 0.8161
0.4993 0.5007 0.6254
0.5007 0.4993 0.1254
0.6333 0.3667 0.3161
0.6866 0.3134 0.7428
0.7197 0.2803 0.9501
0.9462 0.0538 0.3552
```

Properties
Magnetization in Bohr magnetons per cell: 2.00
Energy relative to the elements, uncorrected in eV/atom: -1.4368
Space group: No. 36
Crystal system: orthorhombic

(8)
This record from Alexandria describes crystalline Rb2ScVS4 at its relaxed geometry. The functional is PBE.

Geometry as POSCAR:
```
Rb2ScVS4
1.0
0.0000 6.9364 12.1526
3.0274 0.0000 12.1526
3.0274 6.9364 0.0000
Rb Sc V S
4 2 2 8
Direct
0.0535 0.0535 0.6965
0.3035 0.3035 0.9465
0.6965 0.6965 0.0535
0.9465 0.9465 0.3035
0.1250 0.1250 0.1250
0.8750 0.8750 0.8750
0.3750 0.3750 0.3750
0.6250 0.6250 0.6250
0.0025 0.3479 0.4404
0.2909 0.5596 0.6521
0.3479 0.0025 0.7091
0.4404 0.7091 0.0025
0.5596 0.2909 0.9975
0.6521 0.9975 0.2909
0.7091 0.4404 0.3479
0.9975 0.6521 0.5596
```

Properties
Magnetization in Bohr magnetons per cell: 4.00
Energy relative to the elements, uncorrected in eV/atom: -1.2604
Space group: No. 70
Crystal system: orthorhombic